9
Lattice="5.425 0.000 0.000 2.713 4.699 0.000 2.713 1.566 4.430" Properties=species:S:1:pos:R:3 comment="BaNaH6Ir | Alexandria via LeMat-Bulk | PBEsol | relaxed" n_ef_per_ev_atom=0.000 space_group="No. 216" pbc="T T T"
Ir 0.000 0.000 0.000
H 3.901 2.252 3.460
H 6.950 2.252 3.460
H 3.901 4.013 0.970
H 5.425 4.893 3.460
H 5.425 1.372 0.970
H 6.950 4.013 0.970
Ba 2.713 1.566 1.107
Na 8.138 4.699 3.322

---

5
Lattice="4.550 0.000 0.000 0.000 5.826 0.000 0.000 0.000 5.826" Properties=species:S:1:pos:R:3 comment="Ba2HIrRu | Alexandria via LeMat-Bulk | PBEsol | relaxed" n_ef_per_ev_atom=0.668 space_group="No. 123" pbc="T T T"
Ba 0.000 0.000 2.913
Ba 0.000 2.913 0.000
H 2.275 2.913 2.913
Ir 2.275 0.000 0.000
Ru 0.000 0.000 0.000

---

In order of appearance, E = -0.1548 -0.1818 Ha/atom.